Record 1
VASP calculation (PBE) on a geometry-optimized LiAgTe3 structure.

**E**: -3.074 eV/atom
**DOS(E_F)**: 0.207 states/eV per atom
**Energy relative to the elements, uncorrected**: -0.24 eV per atom
**Energy relative to the lowest polymorph listed for this composition**: 0 meV per atom

Lattice parameters (Å, degrees): 4.848 6.463 9.298 90.00 97.64 90.00
Space group P2_1/m (No. 11)
Symmetry-distinct sites (fractional):
Li 0.166 0.250 0.198 (multiplicity 2)
Ag 0.459 0.750 0.373 (multiplicity 2)
Te 0.007 0.750 0.519 (multiplicity 2)
Te 0.351 0.504 0.850 (multiplicity 4)

Record 2
VASP calculation (PBE) on a geometry-optimized SrCaNd structure.

**E**: -2.742 eV/atom
**DOS(E_F)**: 1.448 states/eV per atom
**Energy relative to the lowest polymorph listed for this composition**: 0 meV per atom

Lattice parameters (Å, degrees): 13.773 4.049 9.725 90.00 109.41 90.00
Space group C2/m (No. 12)
Symmetry-distinct sites (fractional):
Sr 0.168 0.000 0.125 (multiplicity 4)
Ca 0.031 0.500 0.751 (multiplicity 4)
Nd 0.152 0.000 0.533 (multiplicity 4)